Record 1
# TaTiRu2 (GGA-PBEsol, optimized geometry)
# - energy relative to the elements (eV per atom) = -0.521
# - space group = No. 225
data_TaTiRu2
_cell_length_a 4.3747
_cell_length_b 4.3747
_cell_length_c 4.3747
_cell_angle_alpha 60.00
_cell_angle_beta 60.00
_cell_angle_gamma 60.00
_symmetry_space_group_name_H-M 'P 1'
_symmetry_Int_Tables_number 1
loop_
_symmetry_equiv_pos_as_xyz
'x,y,z'
loop_
_atom_site_label
_atom_site_type_symbol
_atom_site_fract_x
_atom_site_fract_y
_atom_site_fract_z
_atom_site_occupancy
Ta1 Ta 0.0000 0.0000 0.0000 1
Ti1 Ti 0.5000 0.5000 0.5000 1
Ru1 Ru 0.2500 0.2500 0.2500 1
Ru2 Ru 0.7500 0.7500 0.7500 1

Record 2
# HfNbTe3 (GGA-PBEsol, optimized geometry)
# - space group = No. 221
# - energy relative to the elements, uncorrected (eV per atom) = 0.619
# - polymorph energy (0 for the lowest one) (kJ/mol of formula units) = 0
data_HfNbTe3
_cell_length_a 5.2931
_cell_length_b 5.2931
_cell_length_c 5.2931
_cell_angle_alpha 90.00
_cell_angle_beta 90.00
_cell_angle_gamma 90.00
_symmetry_space_group_name_H-M 'P 1'
_symmetry_Int_Tables_number 1
loop_
_symmetry_equiv_pos_as_xyz
'x,y,z'
loop_
_atom_site_label
_atom_site_type_symbol
_atom_site_fract_x
_atom_site_fract_y
_atom_site_fract_z
_atom_site_occupancy
Hf1 Hf 0.0000 0.0000 0.0000 1
Nb1 Nb 0.5000 0.5000 0.5000 1
Te1 Te 0.0000 0.5000 0.5000 1
Te2 Te 0.5000 0.0000 0.5000 1
Te3 Te 0.5000 0.5000 0.0000 1

Record 3
# YRe2Te (GGA-PBEsol, optimized geometry)
# - space group = No. 119
# - energy relative to the elements, uncorrected (eV per atom) = 0.538
data_YRe2Te
_cell_length_a 5.2575
_cell_length_b 5.2575
_cell_length_c 5.2575
_cell_angle_alpha 134.54
_cell_angle_beta 134.54
_cell_angle_gamma 66.25
_symmetry_space_group_name_H-M 'P 1'
_symmetry_Int_Tables_number 1
loop_
_symmetry_equiv_pos_as_xyz
'x,y,z'
loop_
_atom_site_label
_atom_site_type_symbol
_atom_site_fract_x
_atom_site_fract_y
_atom_site_fract_z
_atom_site_occupancy
Y1 Y 0.0000 0.0000 0.0000 1
Re1 Re 0.5000 0.5000 0.0000 1
Re2 Re 0.7500 0.2500 0.5000 1
Te1 Te 0.2500 0.7500 0.5000 1

Record 4
# LaHfTi2Mo (GGA-PBEsol, optimized geometry)
# - energy relative to the elements (eV per atom) = 0.879
# - space group = No. 123
data_LaHfTi2Mo
_cell_length_a 4.7629
_cell_length_b 4.7629
_cell_length_c 5.1450
_cell_angle_alpha 90.00
_cell_angle_beta 90.00
_cell_angle_gamma 90.00
_symmetry_space_group_name_H-M 'P 1'
_symmetry_Int_Tables_number 1
loop_
_symmetry_equiv_pos_as_xyz
'x,y,z'
loop_
_atom_site_label
_atom_site_type_symbol
_atom_site_fract_x
_atom_site_fract_y
_atom_site_fract_z
_atom_site_occupancy
La1 La 0.0000 0.0000 0.0000 1
Hf1 Hf 0.5000 0.5000 0.0000 1
Ti1 Ti 0.0000 0.5000 0.5000 1
Ti2 Ti 0.5000 0.0000 0.5000 1
Mo1 Mo 0.0000 0.0000 0.5000 1

Uncorrected energy in eV for the cell shown, matching the order above: -43.30, -28.81, -34.86, -39.87